No. 1
Mg2OsF | GGA-PBEsol | relaxed

a b c (Å): 4.465 4.465 4.465
angles (deg): 60.00 60.00 60.00
Each line ends with the local moment (μB).
Sites, in units of the cell vectors:
1 Mg 0.250 0.250 0.250  -0.01
2 Mg 0.750 0.750 0.750  -0.01
3 Os 0.500 0.500 0.500  1.16
4 F 0.000 0.000 0.000  0.07

## Properties
The formation energy without anion corrections comes out at 0.08 eV/atom. The total energy comes out at -17.25 eV for the cell shown. The value obtained for the calculated volume is 15.7 Å³ per atom. The calculation puts the spin magnetization at 1.28 μB/f.u.

No. 2
Li6WO6 | GGA-PBEsol | relaxed

a b c (Å): 5.579 5.579 5.579
angles (deg): 61.42 61.42 61.42
Sites, in units of the cell vectors:
1 O 0.797 0.099 0.351
2 O 0.649 0.203 0.901
3 O 0.901 0.649 0.203
4 O 0.099 0.351 0.797
5 O 0.351 0.797 0.099
6 O 0.203 0.901 0.649
7 W 0.000 0.000 0.000
8 Li 0.915 0.281 0.491
9 Li 0.509 0.085 0.719
10 Li 0.719 0.509 0.085
11 Li 0.281 0.491 0.915
12 Li 0.491 0.915 0.281
13 Li 0.085 0.719 0.509

## Properties
The formation energy without anion corrections comes out at -2.10 eV/atom. The total energy comes out at -84.41 eV for the cell shown. The value obtained for the calculated volume is 9.7 Å³ per atom. The calculation puts the spin magnetization at 0.00 μB/f.u.

No. 3
SmAl3Pb2O8 | GGA-PBEsol | relaxed

a b c (Å): 9.499 9.499 9.499
angles (deg): 90.00 90.00 90.00
Sites, in units of the cell vectors:
1 Sm 0.250 0.250 0.750
2 Sm 0.250 0.750 0.250
3 Sm 0.750 0.750 0.750
4 Sm 0.750 0.250 0.250
5 Al 0.500 0.000 0.250
6 Al 0.500 0.250 0.000
7 Al 0.500 0.750 0.000
8 Al 0.750 0.000 0.500
9 Al 0.000 0.750 0.500
10 Al 0.250 0.500 0.000
11 Al 0.250 0.000 0.500
12 Al 0.000 0.500 0.750
13 Al 0.500 0.000 0.750
14 Al 0.000 0.250 0.500
15 Al 0.750 0.500 0.000
16 Al 0.000 0.500 0.250
17 Pb 0.367 0.367 0.367
18 Pb 0.133 0.133 0.133
19 Pb 0.867 0.133 0.867
20 Pb 0.133 0.867 0.867
21 Pb 0.633 0.633 0.367
22 Pb 0.367 0.633 0.633
23 Pb 0.633 0.367 0.633
24 Pb 0.867 0.867 0.133
25 O 0.659 0.659 0.985
26 O 0.390 0.610 0.390
27 O 0.890 0.110 0.110
28 O 0.341 0.659 0.015
29 O 0.159 0.159 0.515
30 O 0.485 0.159 0.841
31 O 0.659 0.341 0.015
32 O 0.841 0.159 0.485
33 O 0.515 0.159 0.159
34 O 0.841 0.485 0.159
35 O 0.390 0.390 0.610
36 O 0.341 0.341 0.985
37 O 0.015 0.341 0.659
38 O 0.110 0.890 0.110
39 O 0.341 0.015 0.659
40 O 0.110 0.110 0.890
41 O 0.610 0.610 0.610
42 O 0.841 0.515 0.841
43 O 0.985 0.659 0.659
44 O 0.485 0.841 0.159
45 O 0.159 0.515 0.159
46 O 0.985 0.341 0.341
47 O 0.341 0.985 0.341
48 O 0.159 0.841 0.485
49 O 0.659 0.015 0.341
50 O 0.515 0.841 0.841
51 O 0.659 0.985 0.659
52 O 0.841 0.841 0.515
53 O 0.890 0.890 0.890
54 O 0.610 0.390 0.390
55 O 0.015 0.659 0.341
56 O 0.159 0.485 0.841

## Properties
The formation energy without anion corrections comes out at -2.57 eV/atom. The total energy comes out at -413.18 eV for the cell shown. The value obtained for the calculated volume is 15.3 Å³ per atom. The calculation puts the spin magnetization at 0.00 μB/f.u.

No. 4
Ta3PdAu | GGA-PBEsol | relaxed

a b c (Å): 4.834 4.834 4.834
angles (deg): 90.00 90.00 90.00
Sites, in units of the cell vectors:
1 Au 0.000 0.000 0.000
2 Pd 0.500 0.500 0.500
3 Ta 0.000 0.500 0.000
4 Ta 0.000 0.000 0.500
5 Ta 0.500 0.000 0.000

## Properties
The total energy comes out at -38.31 eV for the cell shown. The value obtained for the calculated volume is 22.6 Å³ per atom. The calculation puts the spin magnetization at 0.00 μB/f.u.